# 1
Density functional theory data (PBE) for a relaxed structure of OsAuBr2. Values from VASP.

Geometry as Quantum ESPRESSO input:
```
&SYSTEM
  ibrav = 0, nat = 4, ntyp = 3
/
ATOMIC_SPECIES
Os 190.23 Os.upf
Au 196.97 Au.upf
Br 79.90 Br.upf
CELL_PARAMETERS angstrom
-1.2621 -0.8255 -2.7022
3.1127 -5.4438 0.2093
-3.3890 -1.8551 2.1496
ATOMIC_POSITIONS angstrom
Os -2.3255 -1.3403 -0.2763
Au -0.1381 -3.6495 1.1795
Br 0.0000 0.0000 0.0000
Br 0.9253 -3.1347 -1.2464
```

Results
As for the symmetry: No. 47. For the formation energy from raw total energies, the calculation gives 1.171 eV per atom. As for the size of the total moment: 1.750 μB/cell. The value obtained for the electronic total energy is -13.17 eV per cell.


# 2
Density functional theory data (PBE) for a relaxed structure of AlSi2Ni5. Values from VASP.

Geometry as Quantum ESPRESSO input:
```
&SYSTEM
  ibrav = 0, nat = 16, ntyp = 3
/
ATOMIC_SPECIES
Ni 58.69 Ni.upf
Si 28.09 Si.upf
Al 26.98 Al.upf
CELL_PARAMETERS angstrom
-2.1344 0.8065 2.8580
-2.2718 -4.3864 -0.4588
6.6256 -4.0693 6.0964
ATOMIC_POSITIONS angstrom
Ni 1.2192 -5.5396 4.8135
Ni 4.1540 -4.4513 6.6981
Si -0.2537 -4.0958 3.3061
Al 3.3128 -2.0346 3.0482
Ni 3.7564 -5.5259 4.3647
Ni -0.4345 -5.1868 1.1392
Ni 1.0003 -2.1095 3.6821
Al -1.1359 -2.1932 -0.2294
Ni -1.9346 -3.1978 1.7974
Ni 0.5974 -2.9297 1.2729
Si -0.5750 -1.0076 2.1947
Ni 4.7884 -3.2688 4.4984
Si 2.4731 -3.5534 5.1895
Ni 2.1769 -4.2278 2.8188
Si 2.7944 -6.6415 6.3008
Ni 0.0000 0.0000 0.0000
```

Results
As for the symmetry: No. 55. For the formation energy from raw total energies, the calculation gives -0.501 eV per atom. As for the size of the total moment: 0.000 μB/cell. The value obtained for the electronic total energy is -95.01 eV per cell.


# 3
Density functional theory data (PBE) for a relaxed structure of SiTeH3. Values from VASP.

Geometry as Quantum ESPRESSO input:
```
&SYSTEM
  ibrav = 0, nat = 5, ntyp = 3
/
ATOMIC_SPECIES
Te 127.60 Te.upf
H 1.01 H.upf
Si 28.09 Si.upf
CELL_PARAMETERS angstrom
3.7447 0.0000 0.0000
0.0000 3.7447 0.0000
0.0000 0.0000 3.7447
ATOMIC_POSITIONS angstrom
Te 1.8724 1.8724 1.8724
H 1.8724 0.0000 0.0000
Si 0.0000 0.0000 0.0000
H 0.0000 1.8724 0.0000
H 0.0000 0.0000 1.8724
```

Results
As for the symmetry: No. 221. As for the size of the total moment: 0.000 μB/cell. The value obtained for the electronic total energy is -15.22 eV per cell.


Among the records above, which one has the lowest electronic total energy? AlSi2Ni5


Which value of electronic total energy does entry 2 give? -95.01 eV per cell